Compound: MnZnOF2
Source: Alexandria
Functional: PBE+U
Structure: optimized geometry

Structure (CIF):
```
data_MnZnOF2
_symmetry_space_group_name_H-M 'P 4/m m m'
_symmetry_Int_Tables_number 123
_symmetry_space_group_name_Hall '-P 4 2'
_cell_length_a 3.929
_cell_length_b 3.929
_cell_length_c 4.067
_cell_angle_alpha 90.00
_cell_angle_beta 90.00
_cell_angle_gamma 90.00
loop_
_atom_site_label
_atom_site_type_symbol
_atom_site_fract_x
_atom_site_fract_y
_atom_site_fract_z
Mn1 Mn 0.000 0.000 0.000
Zn1 Zn 0.500 0.500 0.500
O1 O 0.500 0.500 0.000
F1 F 0.000 0.500 0.500
```

- Relative energy among the computed polymorphs: 0 meV per atom